(1)
Below is an optimized crystal structure of PmEr3Al2, with properties calculated at the PBE-GGA level.

total magnetic moment	0.0	Bohr magnetons per cell
electronic total energy	-4.579	eV/atom
SG	No. 123

a b c (Å): 3.5314 3.5314 12.5624
angles (deg): 90.00 90.00 90.00
Last column: nearest neighbours and their distance in Å.
Atoms (fractional coordinates):
Pm 0.0000 0.0000 0.0000  4 Pm 3.53, 8 Er 3.60
Er 0.5000 0.5000 0.2065  4 Al 3.10
Er 0.5000 0.5000 0.5000  8 Al 3.11
Er 0.5000 0.5000 0.7935  4 Al 3.10
Al 0.0000 0.0000 0.3525  8 Er 3.10-3.11
Al 0.0000 0.0000 0.6475  8 Er 3.10-3.11

---

(2)
Below is an optimized crystal structure of Cs2AgPb6, with properties calculated at the PBE-GGA level.

total magnetic moment	0.0	Bohr magnetons per cell
electronic total energy	-3.076	eV/atom
SG	No. 164

a b c (Å): 7.3226 7.3226 7.0222
angles (deg): 90.00 90.00 120.00
Last column: nearest neighbours and their distance in Å.
Atoms (fractional coordinates):
Cs 0.3333 0.6667 0.3602  12 Pb 3.90-4.30, 3 Ag 4.34
Cs 0.6667 0.3333 0.6398  12 Pb 3.90-4.30, 3 Ag 4.34
Ag 0.0000 0.0000 0.5000  6 Pb 3.11
Pb 0.1632 0.3264 0.8314  1 Ag 3.11, 2 Pb 3.15
Pb 0.1632 0.8368 0.8314  1 Ag 3.11, 2 Pb 3.15
Pb 0.3264 0.1632 0.1686  1 Ag 3.11, 2 Pb 3.15
Pb 0.6736 0.8368 0.8314  1 Ag 3.11, 2 Pb 3.15
Pb 0.8368 0.1632 0.1686  1 Ag 3.11, 2 Pb 3.15
Pb 0.8368 0.6736 0.1686  1 Ag 3.11, 2 Pb 3.15

---

(3)
Below is an optimized crystal structure of Ca2YTe, with properties calculated at the PBE-GGA level.

E_form (uncorrected)	-534	meV/atom
total magnetic moment	1.0	Bohr magnetons per cell
SG	No. 166

a b c (Å): 10.5883 10.5883 10.5883
angles (deg): 22.07 22.07 22.07
Last column: nearest neighbours and their distance in Å.
Atoms (fractional coordinates):
Ca 0.2322 0.2322 0.2322  3 Te 3.10
Ca 0.7678 0.7678 0.7678  3 Te 3.10
Y 0.0000 0.0000 0.0000  6 Ca 3.91, 6 Y 4.05
Te 0.5000 0.5000 0.5000  6 Ca 3.10

---

(4)
Below is an optimized crystal structure of MgTiAl2Au, with properties calculated at the PBE-GGA level.

total magnetic moment	1.3	Bohr magnetons per cell
electronic total energy	-3.057	eV/atom
SG	No. 123

a b c (Å): 4.9650 4.9650 5.2397
angles (deg): 90.00 90.00 90.00
Last column: nearest neighbours and their distance in Å.
Atoms (fractional coordinates):
Mg 0.0000 0.0000 0.0000  2 Ti 2.62
Ti 0.0000 0.0000 0.5000  4 Al 2.48, 2 Mg 2.62
Al 0.0000 0.5000 0.5000  2 Ti 2.48
Al 0.5000 0.0000 0.5000  2 Ti 2.48
Au 0.5000 0.5000 0.0000  4 Mg 3.51, 8 Al 3.61

---

(5)
Below is an optimized crystal structure of GaBiO3, with properties calculated at the PBE-GGA level.

E_form (uncorrected)	-1316	meV/atom
total magnetic moment	0.0	Bohr magnetons per cell
SG	No. 221

a b c (Å): 3.8579 3.8579 3.8579
angles (deg): 90.00 90.00 90.00
Last column: nearest neighbours and their distance in Å.
Atoms (fractional coordinates):
Ga 0.0000 0.0000 0.0000  6 O 1.93
Bi 0.5000 0.5000 0.5000  12 O 2.73
O 0.0000 0.0000 0.5000  2 Ga 1.93
O 0.0000 0.5000 0.0000  2 Ga 1.93
O 0.5000 0.0000 0.0000  2 Ga 1.93

---

(6)
Below is an optimized crystal structure of BaCrSn2Cl8, with properties calculated at the PBE-GGA level.

E_form (uncorrected)	-1326	meV/atom
total magnetic moment	4.0	Bohr magnetons per cell
SG	No. 2

a b c (Å): 6.5049 6.8365 8.7227
angles (deg): 88.66 88.96 85.77
Last column: nearest neighbours and their distance in Å.
Atoms (fractional coordinates):
Ba 0.0000 0.0000 0.0000  6 Cl 3.06-3.13
Cr 0.0000 0.0000 0.5000  4 Cl 2.41
Sn 0.4974 0.4915 0.7272  2 Cl 2.59-2.74
Sn 0.5026 0.5085 0.2728  2 Cl 2.59-2.74
Cl 0.1978 0.8290 0.6988  1 Cr 2.41
Cl 0.2264 0.8654 0.3018  1 Cr 2.41
Cl 0.2713 0.3333 0.5301  1 Sn 2.59
Cl 0.2893 0.3331 0.9706  1 Sn 2.74, 1 Ba 3.06
Cl 0.7107 0.6669 0.0294  1 Sn 2.74, 1 Ba 3.06
Cl 0.7287 0.6667 0.4699  1 Sn 2.59
Cl 0.7736 0.1346 0.6982  1 Cr 2.41
Cl 0.8022 0.1710 0.3012  1 Cr 2.41

---

(7)
Below is an optimized crystal structure of Ce5Ru3Pb2, with properties calculated at the PBE-GGA level.

total magnetic moment	2.2	Bohr magnetons per cell
electronic total energy	-6.758	eV/atom
SG	No. 65

a b c (Å): 7.9268 7.9268 4.3670
angles (deg): 90.00 90.00 107.28
Last column: nearest neighbours and their distance in Å.
Atoms (fractional coordinates):
Ce 0.0000 0.0000 0.0000  4 Ru 2.62
Ce 0.2879 0.7121 0.0000  1 Ru 2.71
Ce 0.3011 0.3011 0.5000  4 Ru 2.87-3.18
Ce 0.6989 0.6989 0.5000  4 Ru 2.87-3.18
Ce 0.7121 0.2879 0.0000  1 Ru 2.71
Ru 0.1131 0.8869 0.5000  2 Ce 2.62, 1 Ru 2.89, 2 Pb 2.93
Ru 0.5000 0.5000 0.0000  6 Ce 2.71-2.87
Ru 0.8869 0.1131 0.5000  2 Ce 2.62, 1 Ru 2.89, 2 Pb 2.93
Pb 0.0000 0.5000 0.5000  2 Ru 2.93, 6 Ce 3.23-3.24
Pb 0.5000 0.0000 0.5000  2 Ru 2.93, 6 Ce 3.23-3.24

---

(8)
Below is an optimized crystal structure of BaNi2Sb, with properties calculated at the PBE-GGA level.

E_form (uncorrected)	-230	meV/atom
total magnetic moment	0.0	Bohr magnetons per cell
SG	No. 141

a b c (Å): 9.1244 9.1244 9.1244
angles (deg): 147.81 147.81 46.17
Last column: nearest neighbours and their distance in Å.
Atoms (fractional coordinates):
Ba 0.3750 0.6250 0.7500  8 Ni 3.52, 4 Sb 3.58
Ba 0.6250 0.3750 0.2500  8 Ni 3.52, 4 Sb 3.58
Ni 0.0000 0.0000 0.0000  2 Sb 2.45, 2 Ni 2.53
Ni 0.0000 0.0000 0.5000  2 Sb 2.45, 2 Ni 2.53
Ni 0.0000 0.5000 0.0000  2 Sb 2.45, 2 Ni 2.53
Ni 0.5000 0.0000 0.5000  2 Sb 2.45, 2 Ni 2.53
Sb 0.1250 0.8750 0.2500  4 Ni 2.45
Sb 0.8750 0.1250 0.7500  4 Ni 2.45

---

Which value of total magnetic moment does entry 6 give? 4.0 Bohr magnetons per cell